Hg4Se3 | GGA-PBE | optimized geometry

Calculated values
- formation energy without anion corrections (meV/atom) = 168

Cell and atoms, written as POSCAR:
```
Hg4Se3
1.0
5.337 0.000 0.000
-2.668 4.622 0.000
0.000 0.000 8.308
Hg Se
4 3
direct
0.000 0.000 0.202
0.000 0.000 0.798
0.333 0.667 0.000
0.667 0.333 0.000
0.000 0.500 0.500
0.500 0.000 0.500
0.500 0.500 0.500
```

BaSiAg4 | GGA-PBE | optimized geometry

Calculated values
- formation energy without anion corrections (meV/atom) = 38

Cell and atoms, written as POSCAR:
```
BaSiAg4
1.0
0.000 4.064 4.064
4.064 0.000 4.064
4.064 4.064 0.000
Ba Si Ag
1 1 4
direct
0.000 0.000 0.000
0.750 0.750 0.750
0.376 0.376 0.376
0.376 0.376 0.873
0.376 0.873 0.376
0.873 0.376 0.376
```

LaDy6Te8 | GGA-PBE | optimized geometry

Calculated values
- formation energy without anion corrections (meV/atom) = -1382

Cell and atoms, written as POSCAR:
```
LaDy6Te8
1.0
0.000 6.155 6.155
6.155 0.000 6.155
6.155 6.155 0.000
La Dy Te
1 6 8
direct
0.000 0.000 0.000
0.000 0.000 0.500
0.000 0.500 0.000
0.000 0.500 0.500
0.500 0.000 0.000
0.500 0.000 0.500
0.500 0.500 0.000
0.250 0.250 0.250
0.264 0.264 0.736
0.264 0.736 0.264
0.264 0.736 0.736
0.736 0.264 0.264
0.736 0.264 0.736
0.736 0.736 0.264
0.750 0.750 0.750
```

Cs2SbPbCl6 | GGA-PBE | optimized geometry

Calculated values
- formation energy without anion corrections (meV/atom) = -1296

Cell and atoms, written as POSCAR:
```
Cs2SbPbCl6
1.0
-3.980 3.980 5.701
3.980 -3.980 5.701
3.980 3.980 -5.701
Cs Sb Pb Cl
2 1 1 6
direct
0.250 0.750 0.500
0.750 0.250 0.500
0.000 0.000 0.000
0.500 0.500 0.000
0.243 0.243 0.486
0.243 0.757 0.000
0.246 0.246 0.000
0.754 0.754 0.000
0.757 0.243 0.000
0.757 0.757 0.514
```

Er2HfZr | GGA-PBE | optimized geometry

Calculated values
- ΔH_f (0 K) (eV/atom) = 0.137

Cell and atoms, written as POSCAR:
```
Er2HfZr
1.0
3.286 0.000 0.000
0.000 3.286 0.000
0.000 0.000 9.571
Er Hf Zr
2 1 1
direct
0.000 0.000 0.247
0.000 0.000 0.753
0.500 0.500 0.000
0.500 0.500 0.500
```

KYN2 | GGA-PBE | optimized geometry

Calculated values
- formation energy without anion corrections (meV/atom) = 22

Cell and atoms, written as POSCAR:
```
KYN2
1.0
1.827 1.055 7.319
-1.827 1.055 7.319
0.000 -2.109 7.319
K Y N
1 1 2
direct
0.000 0.000 0.000
0.500 0.500 0.500
0.116 0.116 0.116
0.884 0.884 0.884
```

OsRu2 | GGA-PBE | optimized geometry

Calculated values
- ΔH_f (0 K) (eV/atom) = 0.116

Cell and atoms, written as POSCAR:
```
OsRu2
1.0
-1.356 1.356 5.747
1.356 -1.356 5.747
1.356 1.356 -5.747
Os Ru
1 2
direct
0.000 0.000 0.000
0.334 0.334 0.000
0.666 0.666 0.000
```

MnBe2In | GGA-PBE | optimized geometry

Calculated values
- ΔH_f (0 K) (eV/atom) = 0.706

Cell and atoms, written as POSCAR:
```
MnBe2In
1.0
-3.202 3.202 2.577
3.202 -3.202 2.577
3.202 3.202 -2.577
Mn Be In
2 4 2
direct
0.000 0.000 0.000
0.750 0.250 0.500
0.091 0.625 0.966
0.375 0.341 0.466
0.659 0.125 0.034
0.875 0.909 0.534
0.250 0.750 0.500
0.500 0.500 0.000
```